[1]
Here is a relaxed structure of NdTm2MoO8 from Alexandria via LeMat-Bulk. Energies are from PBE+U.

Total energy: -92.61 eV for the cell shown
Fermi-level density of states: 4.1 states/eV per cell

abc: 5.0019 5.0022 6.9077
angles: 90.00 90.00 90.46
Each line ends with the local moment (μB).
Atoms (fractional coordinates):
O 0.1868 0.8131 0.2060  0.04
O 0.1868 0.8132 0.7940  0.04
O 0.3214 0.3208 0.5000  0.24
O 0.6786 0.6792 0.5000  0.24
O 0.8132 0.1869 0.7940  0.04
O 0.8132 0.1868 0.2060  0.04
O 0.7205 0.7205 0.0000  0.08
O 0.2795 0.2795 0.0000  0.08
Tm 0.5000 0.5000 0.7598  -0.01
Tm 0.5000 0.5000 0.2402  -0.01
Mo 0.0000 0.0000 0.0000  -0.04
Nd 0.0000 0.0000 0.5000  0.02

[2]
Here is a relaxed structure of NdTmMo2O8 from Alexandria via LeMat-Bulk. Energies are from PBE+U.

Total energy: -92.33 eV for the cell shown

abc: 5.2891 5.2891 6.7332
angles: 113.13 113.13 90.00
Each line ends with the local moment (μB).
Atoms (fractional coordinates):
O 0.9912 0.4281 0.3227  0.00
O 0.1054 0.0088 0.6773  0.00
O 0.1481 0.6027 0.8228  0.02
O 0.7799 0.8519 0.1772  0.02
O 0.3315 0.8946 0.3227  0.00
O 0.3973 0.3253 0.1772  0.02
O 0.5719 0.6685 0.6773  0.00
O 0.6747 0.2201 0.8228  0.02
Nd 0.7500 0.2500 0.5000  0.02
Mo 0.2500 0.7500 0.5000  0.05
Mo 0.5000 0.5000 0.0000  1.80
Tm 0.0000 0.0000 0.0000  0.03

[3]
Here is a relaxed structure of NdY3Mo8O30 from Alexandria via LeMat-Bulk. Energies are from PBE+U.

Total energy: -318.48 eV for the cell shown
Fermi-level density of states: 0.0 states/eV per cell

abc: 6.9672 9.7872 10.8726
angles: 89.96 74.89 90.14
Atoms (fractional coordinates):
O 0.8827 0.3377 0.5999
O 0.5566 0.0311 0.7119
O 0.2160 0.1561 0.5763
O 0.8731 0.0545 0.8235
O 0.4600 0.5226 0.7882
O 0.8704 0.4466 0.3142
O 0.0209 0.6262 0.1038
O 0.8913 0.1641 0.1001
O 0.2181 0.3530 0.0823
O 0.7591 0.6333 0.6144
O 0.7782 0.8476 0.4158
O 0.4567 0.9707 0.2903
O 0.4984 0.4934 0.5003
O 0.6201 0.2785 0.8526
O 0.1167 0.8310 0.9050
O 0.3827 0.7251 0.1500
O 0.1121 0.6653 0.3980
O 0.7579 0.8635 0.1165
O 0.1296 0.5487 0.6863
O 0.9747 0.3716 0.9000
O 0.4980 0.0015 0.0029
O 0.2511 0.1411 0.8855
O 0.3922 0.7696 0.6485
O 0.9634 0.1303 0.4002
O 0.6109 0.2238 0.3423
O 0.0221 0.8711 0.5966
O 0.1262 0.9489 0.1886
O 0.2363 0.3656 0.3802
O 0.7830 0.6500 0.9177
O 0.5418 0.4767 0.2110
Y 0.7928 0.0232 0.2739
Y 0.7969 0.4770 0.7754
Y 0.2050 0.5252 0.2246
Nd 0.2124 0.9762 0.7227
Mo 0.0836 0.2584 0.9910
Mo 0.0741 0.2468 0.4878
Mo 0.3864 0.5885 0.6552
Mo 0.6188 0.0974 0.8488
Mo 0.9173 0.7414 0.0118
Mo 0.6150 0.4050 0.3421
Mo 0.9157 0.7553 0.5068
Mo 0.3816 0.9061 0.1572

[4]
Here is a relaxed structure of Nd2YMoO8 from Alexandria via LeMat-Bulk. Energies are from PBE+U.

Total energy: -93.49 eV for the cell shown
Fermi-level density of states: 6.7 states/eV per cell

abc: 5.2022 5.2030 6.9461
angles: 90.00 90.00 90.90
Each line ends with the local moment (μB).
Atoms (fractional coordinates):
Nd 0.5000 0.5000 0.2497  -0.01
Nd 0.5000 0.5000 0.7503  -0.01
Mo 0.0000 0.0000 0.0000  -0.12
O 0.2656 0.2643 0.0000  0.19
O 0.8234 0.1775 0.2101  0.11
O 0.6987 0.6994 0.5000  0.08
O 0.1766 0.8225 0.7899  0.11
O 0.8234 0.1775 0.7899  0.11
O 0.1766 0.8225 0.2101  0.11
O 0.7344 0.7357 0.0000  0.19
O 0.3013 0.3006 0.5000  0.08
Y 0.0000 0.0000 0.5000  -0.01

[5]
Here is a relaxed structure of Nd2Zr3Mo9O36 from Alexandria via LeMat-Bulk. Energies are from PBE+U.

Total energy: -767.79 eV for the cell shown
Fermi-level density of states: 0.0 states/eV per cell

abc: 21.0525 21.0525 21.0525
angles: 27.70 27.70 27.70
Atoms (fractional coordinates):
O 0.4222 0.7790 0.5404
O 0.2594 0.5699 0.3136
O 0.2126 0.0564 0.4108
O 0.0675 0.2933 0.5511
O 0.4436 0.2874 0.0892
O 0.9301 0.2406 0.1864
O 0.5699 0.3136 0.2594
O 0.0564 0.4108 0.2126
O 0.1822 0.8863 0.8738
O 0.8136 0.0699 0.7594
O 0.6647 0.8396 0.4937
O 0.5511 0.0675 0.2933
O 0.2933 0.5511 0.0675
O 0.6604 0.8353 0.0063
O 0.0511 0.7933 0.5675
O 0.2874 0.0892 0.4436
O 0.7126 0.9108 0.5564
O 0.0778 0.9596 0.7210
O 0.7210 0.0778 0.9596
O 0.3178 0.6262 0.6137
O 0.7594 0.8136 0.0699
O 0.8178 0.1137 0.1262
O 0.5778 0.2210 0.4596
O 0.6864 0.7406 0.4301
O 0.2406 0.1864 0.9301
O 0.8396 0.4937 0.6647
O 0.8353 0.0063 0.6604
O 0.6137 0.3178 0.6262
O 0.3353 0.1604 0.5063
O 0.7790 0.5404 0.4222
O 0.5892 0.7874 0.9436
O 0.6262 0.6137 0.3178
O 0.7067 0.4489 0.9325
O 0.9489 0.2067 0.4325
O 0.0404 0.2790 0.9222
O 0.8863 0.8738 0.1822
O 0.5404 0.4222 0.7790
O 0.8738 0.1822 0.8863
O 0.5564 0.7126 0.9108
O 0.0892 0.4436 0.2874
O 0.2067 0.4325 0.9489
O 0.9596 0.7210 0.0778
O 0.3863 0.6822 0.3738
O 0.4596 0.5778 0.2210
O 0.0063 0.6604 0.8353
O 0.4301 0.6864 0.7406
O 0.2210 0.4596 0.5778
O 0.1864 0.9301 0.2406
O 0.7874 0.9436 0.5892
O 0.9436 0.5892 0.7874
O 0.1262 0.8178 0.1137
O 0.1137 0.1262 0.8178
O 0.1647 0.9937 0.3396
O 0.1604 0.5063 0.3353
O 0.4937 0.6647 0.8396
O 0.5063 0.3353 0.1604
O 0.3136 0.2594 0.5699
O 0.9937 0.3396 0.1647
O 0.3396 0.1647 0.9937
O 0.9108 0.5564 0.7126
O 0.7933 0.5675 0.0511
O 0.7406 0.4301 0.6864
O 0.4325 0.9489 0.2067
O 0.5675 0.0511 0.7933
O 0.2790 0.9222 0.0404
O 0.0699 0.7594 0.8136
O 0.3738 0.3863 0.6822
O 0.9222 0.0404 0.2790
O 0.4489 0.9325 0.7067
O 0.9325 0.7067 0.4489
O 0.4108 0.2126 0.0564
O 0.6822 0.3738 0.3863
Mo 0.8507 0.3810 0.1963
Mo 0.1963 0.8507 0.3810
Mo 0.3810 0.1963 0.8507
Mo 0.9711 0.5289 0.2500
Mo 0.5289 0.2500 0.9711
Mo 0.4711 0.7500 0.0289
Mo 0.8037 0.1493 0.6190
Mo 0.7500 0.0289 0.4711
Mo 0.2500 0.9711 0.5289
Mo 0.1190 0.6493 0.3037
Mo 0.1493 0.6190 0.8037
Mo 0.3507 0.6963 0.8810
Mo 0.0289 0.4711 0.7500
Mo 0.6963 0.8810 0.3507
Mo 0.3037 0.1190 0.6493
Mo 0.8810 0.3507 0.6963
Mo 0.6190 0.8037 0.1493
Mo 0.6493 0.3037 0.1190
Zr 0.0972 0.0972 0.0972
Zr 0.9028 0.9028 0.9028
Zr 0.0000 0.0000 0.0000
Zr 0.5972 0.5972 0.5972
Zr 0.5000 0.5000 0.5000
Zr 0.4028 0.4028 0.4028
Nd 0.8035 0.8035 0.8035
Nd 0.3035 0.3035 0.3035
Nd 0.1965 0.1965 0.1965
Nd 0.6965 0.6965 0.6965

[6]
Here is a relaxed structure of NdZr2MoO8 from Alexandria via LeMat-Bulk. Energies are from PBE+U.

Total energy: -102.26 eV for the cell shown
Fermi-level density of states: 0.0 states/eV per cell

abc: 4.9869 4.9863 6.6858
angles: 90.25 89.74 89.12
Each line ends with the local moment (μB).
Atoms (fractional coordinates):
Zr 0.5061 0.4939 0.7549  0.02
Zr 0.4939 0.5061 0.2451  0.02
O 0.7994 0.2003 0.7826  0.01
O 0.1935 0.8068 0.7929  -0.03
O 0.2969 0.2972 0.0000  0.00
O 0.6769 0.6769 0.5000  0.00
O 0.3231 0.3231 0.5000  0.00
O 0.2006 0.7997 0.2174  0.01
O 0.7031 0.7028 0.0000  0.00
O 0.8065 0.1932 0.2071  -0.03
Mo 0.0000 0.0000 0.0000  0.96
Nd 0.0000 0.0000 0.5000  0.00

Which value of total energy does entry 2 give?
-92.33 eV for the cell shown

Number 6 is which compound?
NdZr2MoO8